KCaTlO3: optimized geometry, PBE-GGA.

Unit cell a=3.5969 b=6.1918 c=9.1132 alpha=102.67 beta=90.00 gamma=90.00
Positions (direct):
K 0.2500 0.3538 0.3105
K 0.7500 0.6462 0.6895
Ca 0.2500 0.7590 0.0327
Ca 0.7500 0.2410 0.9673
Tl 0.2500 0.1343 0.6594
Tl 0.7500 0.8657 0.3406
O 0.7500 0.0279 0.1473
O 0.2500 0.9721 0.8527
O 0.2500 0.7946 0.4756
O 0.7500 0.2054 0.5244
O 0.7500 0.5692 0.1484
O 0.2500 0.4308 0.8516

Values from the calculation:
**Space-group type**: P2_1/m
**Energy relative to the elements, uncorrected**: -1611 meV per atom

***

Pm6Cd23: optimized geometry, PBE-GGA.

Unit cell a=9.9864 b=9.9864 c=9.9864 alpha=60.00 beta=60.00 gamma=60.00
Positions (direct):
Pm 0.2053 0.7947 0.7947
Pm 0.7947 0.2053 0.2053
Pm 0.2053 0.2053 0.7947
Pm 0.7947 0.7947 0.2053
Pm 0.2053 0.7947 0.2053
Pm 0.7947 0.2053 0.7947
Cd 0.5000 0.5000 0.5000
Cd 0.5000 0.0000 0.0000
Cd 0.0000 0.5000 0.5000
Cd 0.5000 0.5000 0.0000
Cd 0.0000 0.0000 0.5000
Cd 0.5000 0.0000 0.5000
Cd 0.0000 0.5000 0.0000
Cd 0.1356 0.6215 0.6215
Cd 0.6215 0.6215 0.1356
Cd 0.6215 0.1356 0.6215
Cd 0.6215 0.6215 0.6215
Cd 0.3785 0.3785 0.8644
Cd 0.8644 0.3785 0.3785
Cd 0.3785 0.8644 0.3785
Cd 0.3785 0.3785 0.3785
Cd 0.4942 0.8353 0.8353
Cd 0.8353 0.8353 0.4942
Cd 0.8353 0.4942 0.8353
Cd 0.8353 0.8353 0.8353
Cd 0.1647 0.1647 0.5058
Cd 0.5058 0.1647 0.1647
Cd 0.1647 0.5058 0.1647
Cd 0.1647 0.1647 0.1647

Values from the calculation:
**Space-group type**: Fm-3m
**Energy of formation from the pure elements**: -0.236 eV/atom

***

Pm3Cd7Au2: optimized geometry, PBE-GGA.

Unit cell a=5.8930 b=5.8930 c=10.1720 alpha=73.16 beta=73.16 gamma=60.00
Positions (direct):
Pm 0.0000 0.0000 0.0000
Pm 0.8570 0.8570 0.4291
Pm 0.1430 0.1430 0.5709
Cd 0.5000 0.5000 0.5000
Cd 0.9230 0.4153 0.2463
Cd 0.4153 0.9230 0.2463
Cd 0.4153 0.4153 0.2463
Cd 0.0770 0.5847 0.7537
Cd 0.5847 0.5847 0.7537
Cd 0.5847 0.0770 0.7537
Au 0.6654 0.6654 0.0037
Au 0.3346 0.3346 0.9963

Values from the calculation:
**Space-group type**: R-3m
**Energy of formation from the pure elements**: -0.322 eV/atom

***

Tl2NiPb: optimized geometry, PBE-GGA.

Unit cell a=6.2525 b=6.2525 c=3.6093 alpha=75.47 beta=75.47 gamma=122.35
Positions (direct):
Tl 0.0000 0.5000 0.0000
Tl 0.5000 0.0000 0.0000
Ni 0.0000 0.0000 0.5000
Pb 0.5000 0.5000 0.5000

Values from the calculation:
**Space-group type**: C2/m
**Energy of formation from the pure elements**: 0.437 eV/atom

***

BeCr2RhC: optimized geometry, PBE-GGA.

Unit cell a=3.7741 b=4.0339 c=3.7741 alpha=90.00 beta=90.00 gamma=90.00
Site moments in Bohr magnetons follow the coordinates.
Positions (direct):
Cr 0.0000 0.0000 0.5000  0.72
Cr 0.5000 0.0000 0.0000  0.66
C 0.0000 0.0000 0.0000  -0.03
Rh 0.0000 0.5000 0.0000  0.13
Be 0.5000 0.5000 0.5000  -0.02

Values from the calculation:
**Space-group type**: P4/mmm
**Energy of formation from the pure elements**: 0.173 eV/atom

***

TbNd6Pb10: optimized geometry, PBE-GGA.

Unit cell a=6.5973 b=9.5900 c=9.5900 alpha=120.00 beta=90.00 gamma=90.00
Positions (direct):
Tb 0.5000 0.0000 0.0000
Nd 0.7351 0.3884 0.3884
Nd 0.7351 0.0000 0.6116
Nd 0.7351 0.6116 0.0000
Nd 0.2649 0.6116 0.6116
Nd 0.2649 0.0000 0.3884
Nd 0.2649 0.3884 0.0000
Pb 0.7974 0.7409 0.7409
Pb 0.7974 0.0000 0.2591
Pb 0.7974 0.2591 0.0000
Pb 0.2026 0.2591 0.2591
Pb 0.2026 0.0000 0.7409
Pb 0.2026 0.7409 0.0000
Pb 0.5000 0.3333 0.6667
Pb 0.5000 0.6667 0.3333
Pb 0.0000 0.6667 0.3333
Pb 0.0000 0.3333 0.6667

Values from the calculation:
**Space-group type**: P-31m
**Energy of formation from the pure elements**: -0.408 eV/atom

***

CsNdCoCl6: optimized geometry, PBE-GGA.

Unit cell a=6.8643 b=6.8645 c=7.7774 alpha=89.91 beta=90.09 gamma=59.87
Site moments in Bohr magnetons follow the coordinates.
Positions (direct):
Cs 0.0002 0.0002 0.0000  0.00
Nd 0.3338 0.3338 0.5000  0.00
Co 0.6671 0.6671 0.5000  2.52
Cl 0.9697 0.3903 0.3105  0.05
Cl 0.3903 0.9697 0.6895  0.05
Cl 0.6327 0.3974 0.6935  0.05
Cl 0.9690 0.6397 0.6895  0.05
Cl 0.3973 0.6327 0.3065  0.05
Cl 0.6397 0.9690 0.3104  0.05

Values from the calculation:
**Space-group type**: C2
**Energy relative to the elements, uncorrected**: -1638 meV per atom

***

ErCuAu: optimized geometry, PBE-GGA.

Unit cell a=3.6128 b=3.6128 c=5.1019 alpha=110.74 beta=110.74 gamma=90.00
Positions (direct):
Au 0.9478 0.9478 0.8956
Cu 0.2857 0.2857 0.5713
Er 0.6165 0.6165 0.2331

Values from the calculation:
**Space-group type**: I4mm
**Energy of formation from the pure elements**: -0.560 eV/atom

***

CdTcIr2: optimized geometry, PBE-GGA.

Unit cell a=4.8715 b=4.8715 c=4.9001 alpha=80.30 beta=80.30 gamma=33.37
Positions (direct):
Cd 0.2528 0.2528 0.2351
Ir 0.0105 0.0105 0.9999
Ir 0.7486 0.7486 0.7278
Tc 0.4881 0.4881 0.5372

Values from the calculation:
**Space-group type**: Cm
**Energy of formation from the pure elements**: 0.180 eV/atom